Entry 1:
Here is a relaxed structure of Pm2NdDy2Y2 from Alexandria via LeMat-Bulk. Energies are from PBE.

Cell and atoms, written as POSCAR:
```
Pm2NdDy2Y2
1.0
5.682 -2.548 0.000
5.682 2.548 0.000
-1.145 0.000 7.982
Pm Nd Dy Y
2 1 2 2
direct
0.142 0.142 0.429
0.858 0.858 0.571
0.000 0.000 0.000
0.429 0.429 0.286
0.571 0.571 0.714
0.286 0.286 0.858
0.714 0.714 0.142
```

Calculated values
The value obtained for the density of states at the Fermi level is 9.744 states/eV/cell. The density is 6.73 Mg/m³. The total DFT energy (no corrections) comes out at -36.3 eV per formula unit. The formation energy from the elements is 0.0162 eV per atom.



Entry 2:
Here is a relaxed structure of Tl3Pd2Cl7 from Alexandria via LeMat-Bulk. Energies are from PBE.

Cell and atoms, written as POSCAR:
```
Tl3Pd2Cl7
1.0
-2.497 2.497 12.795
2.497 -2.497 12.795
2.497 2.497 -12.795
Tl Pd Cl
3 2 7
direct
0.000 0.000 0.000
0.182 0.182 0.000
0.818 0.818 0.000
0.403 0.403 0.000
0.597 0.597 0.000
0.096 0.596 0.500
0.307 0.307 0.000
0.404 0.904 0.500
0.500 0.500 0.000
0.596 0.096 0.500
0.693 0.693 0.000
0.904 0.404 0.500
```

Calculated values
The value obtained for the density of states at the Fermi level is 2.208 states/eV/cell. For the uncorrected formation energy, the calculation gives -0.73 eV per atom. The density is 5.59 Mg/m³. The total DFT energy (no corrections) comes out at -39.2 eV per formula unit.



Entry 3:
Here is a relaxed structure of DyZnCuAu from Alexandria via LeMat-Bulk. Energies are from PBE.

Cell and atoms, written as POSCAR:
```
DyZnCuAu
1.0
0.000 3.338 3.338
3.338 0.000 3.338
3.338 3.338 0.000
Dy Zn Cu Au
1 1 1 1
direct
0.000 0.000 0.000
0.500 0.500 0.500
0.250 0.250 0.250
0.750 0.750 0.750
```

Calculated values
The value obtained for the density of states at the Fermi level is 3.002 states/eV/cell. The density is 10.90 Mg/m³. The total DFT energy (no corrections) comes out at -14.9 eV per formula unit. The formation energy from the elements is -0.4031 eV per atom.



Entry 4:
Here is a relaxed structure of Th8IrRh3Se4 from Alexandria via LeMat-Bulk. Energies are from PBE.

Cell and atoms, written as POSCAR:
```
Th8IrRh3Se4
1.0
4.113 2.375 7.344
-4.113 2.375 7.344
0.000 -4.749 7.344
Th Ir Rh Se
8 1 3 4
direct
0.240 0.240 0.240
0.241 0.740 0.740
0.260 0.260 0.759
0.260 0.759 0.260
0.740 0.241 0.740
0.740 0.740 0.241
0.759 0.260 0.260
0.760 0.760 0.760
0.500 0.500 0.500
0.000 0.000 0.500
0.000 0.500 0.000
0.500 0.000 0.000
0.000 0.000 0.000
0.000 0.500 0.500
0.500 0.000 0.500
0.500 0.500 0.000
```

Calculated values
The value obtained for the density of states at the Fermi level is 12.426 states/eV/cell. For the uncorrected formation energy, the calculation gives -1.24 eV per atom. The density is 10.31 Mg/m³. The total DFT energy (no corrections) comes out at -124.1 eV per formula unit.



Entry 5:
Here is a relaxed structure of CuTc2Sb from Alexandria via LeMat-Bulk. Energies are from PBE.

Cell and atoms, written as POSCAR:
```
CuTc2Sb
1.0
4.351 -1.506 0.000
4.351 1.506 0.000
-1.034 0.000 4.820
Cu Tc Sb
1 2 1
direct
0.000 0.000 0.000
0.253 0.253 0.779
0.747 0.747 0.221
0.500 0.500 0.500
```

Calculated values
The value obtained for the density of states at the Fermi level is 3.227 states/eV/cell. For the uncorrected formation energy, the calculation gives 0.31 eV per atom. The density is 10.02 Mg/m³. The total DFT energy (no corrections) comes out at -27.7 eV per formula unit.



Entry 6:
Here is a relaxed structure of CsSrCr2Cl8 from Alexandria via LeMat-Bulk. Energies are from PBE.

Cell and atoms, written as POSCAR:
```
CsSrCr2Cl8
1.0
6.857 0.000 0.000
-3.429 5.938 0.000
0.000 0.000 9.972
Cs Sr Cr Cl
1 1 2 8
direct
0.000 0.000 0.000
0.000 0.000 0.500
0.333 0.667 0.738
0.667 0.333 0.262
0.009 0.335 0.683
0.326 0.991 0.683
0.333 0.667 0.960
0.335 0.326 0.317
0.665 0.674 0.683
0.667 0.333 0.040
0.674 0.009 0.317
0.991 0.665 0.317
```

Calculated values
The value obtained for the density of states at the Fermi level is 14.370 states/eV/cell. For the uncorrected formation energy, the calculation gives -1.43 eV per atom. The density is 2.49 Mg/m³. The total DFT energy (no corrections) comes out at -53.7 eV per formula unit.



Entry 7:
Here is a relaxed structure of Tb3Si3Ir2 from Alexandria via LeMat-Bulk. Energies are from PBE.

Cell and atoms, written as POSCAR:
```
Tb3Si3Ir2
1.0
2.125 -5.241 0.000
2.125 5.241 0.000
0.000 0.000 14.064
Tb Si Ir
6 6 4
direct
0.083 0.917 0.612
0.083 0.917 0.888
0.362 0.638 0.750
0.638 0.362 0.250
0.917 0.083 0.112
0.917 0.083 0.388
0.332 0.668 0.250
0.377 0.623 0.535
0.377 0.623 0.965
0.623 0.377 0.035
0.623 0.377 0.465
0.668 0.332 0.750
0.202 0.798 0.097
0.202 0.798 0.403
0.798 0.202 0.597
0.798 0.202 0.903
```

Calculated values
The value obtained for the density of states at the Fermi level is 6.844 states/eV/cell. For the uncorrected formation energy, the calculation gives -0.98 eV per atom. The density is 10.02 Mg/m³. As for the relative energy among the computed polymorphs: 0.000 eV/atom. The total DFT energy (no corrections) comes out at -55.7 eV per formula unit.



Entry 8:
Here is a relaxed structure of LiScGe from Alexandria via LeMat-Bulk. Energies are from PBE.

Cell and atoms, written as POSCAR:
```
LiScGe
1.0
-1.936 1.936 7.418
1.936 -1.936 7.418
1.936 1.936 -7.418
Li Sc Ge
2 2 2
direct
0.000 0.500 0.500
0.500 0.000 0.500
0.175 0.175 0.000
0.825 0.825 0.000
0.366 0.366 0.000
0.634 0.634 0.000
```

Calculated values
The value obtained for the density of states at the Fermi level is 2.619 states/eV/cell. The density is 3.72 Mg/m³. The total DFT energy (no corrections) comes out at -14.5 eV per formula unit. The formation energy from the elements is -0.5308 eV per atom.



Entry 9:
Here is a relaxed structure of SrSmTh from Alexandria via LeMat-Bulk. Energies are from PBE.

Cell and atoms, written as POSCAR:
```
SrSmTh
1.0
3.727 0.000 0.000
-1.863 3.227 0.000
0.000 0.000 9.428
Sr Sm Th
1 1 1
direct
0.000 0.000 0.000
0.333 0.667 0.638
0.667 0.333 0.343
```

Calculated values
The value obtained for the density of states at the Fermi level is 5.696 states/eV/cell. The density is 6.88 Mg/m³. As for the relative energy among the computed polymorphs: 0.014 eV/atom. The total DFT energy (no corrections) comes out at -13.3 eV per formula unit. The formation energy from the elements is 0.1880 eV per atom.



Entry 10:
Here is a relaxed structure of CaYI2O from Alexandria via LeMat-Bulk. Energies are from PBE.

Cell and atoms, written as POSCAR:
```
CaYI2O
1.0
5.763 0.000 0.000
0.000 5.763 0.000
0.000 0.000 7.018
Ca Y I O
1 1 2 1
direct
0.000 0.000 0.000
0.000 0.000 0.500
0.000 0.500 0.000
0.500 0.000 0.000
0.500 0.500 0.500
```

Calculated values
The value obtained for the density of states at the Fermi level is 0.852 states/eV/cell. For the uncorrected formation energy, the calculation gives 0.16 eV per atom. The density is 2.84 Mg/m³. As for the relative energy among the computed polymorphs: 1.716 eV/atom. The total DFT energy (no corrections) comes out at -15.7 eV per formula unit.



Entry 11:
Here is a relaxed structure of ZrCd3Ni from Alexandria via LeMat-Bulk. Energies are from PBE.

Cell and atoms, written as POSCAR:
```
ZrCd3Ni
1.0
5.561 0.000 0.000
0.000 5.561 0.000
0.000 0.000 5.561
Zr Cd Ni
1 3 1
direct
0.000 0.000 0.000
0.000 0.000 0.500
0.000 0.500 0.000
0.500 0.000 0.000
0.500 0.500 0.500
```

Calculated values
The value obtained for the density of states at the Fermi level is 7.697 states/eV/cell. The density is 4.70 Mg/m³. As for the relative energy among the computed polymorphs: 1.062 eV/atom. The total DFT energy (no corrections) comes out at -9.9 eV per formula unit. The formation energy from the elements is 1.4381 eV per atom.



Entry 12:
Here is a relaxed structure of Li2CrCd from Alexandria via LeMat-Bulk. Energies are from PBE.

Cell and atoms, written as POSCAR:
```
Li2CrCd
1.0
-2.023 2.062 4.207
2.023 -2.062 4.207
2.023 2.062 -4.207
Li Cr Cd
2 1 1
direct
0.250 0.250 0.000
0.750 0.750 0.000
0.500 0.000 0.500
0.000 0.500 0.500
```

Calculated values
The value obtained for the density of states at the Fermi level is 1.583 states/eV/cell. The density is 4.22 Mg/m³. The total DFT energy (no corrections) comes out at -13.6 eV per formula unit. The formation energy from the elements is 0.1950 eV per atom.



Entry 13:
Here is a relaxed structure of Cd5AgPd3 from Alexandria via LeMat-Bulk. Energies are from PBE.

Cell and atoms, written as POSCAR:
```
Cd5AgPd3
1.0
8.235 0.000 0.000
-4.117 7.132 0.000
0.000 0.000 5.701
Cd Ag Pd
10 2 6
direct
0.000 0.302 0.250
0.000 0.698 0.750
0.302 0.000 0.250
0.302 0.302 0.750
0.333 0.667 0.000
0.333 0.667 0.500
0.667 0.333 0.000
0.667 0.333 0.500
0.698 0.000 0.750
0.698 0.698 0.250
0.000 0.000 0.000
0.000 0.000 0.500
0.000 0.366 0.750
0.000 0.634 0.250
0.366 0.000 0.750
0.366 0.366 0.250
0.634 0.000 0.250
0.634 0.634 0.750
```

Calculated values
The value obtained for the density of states at the Fermi level is 10.207 states/eV/cell. The density is 9.81 Mg/m³. The total DFT energy (no corrections) comes out at -25.2 eV per formula unit. The formation energy from the elements is -0.2457 eV per atom.



Entry 14:
Here is a relaxed structure of Ti2IrOs2 from Alexandria via LeMat-Bulk. Energies are from PBE.

Cell and atoms, written as POSCAR:
```
Ti2IrOs2
1.0
6.050 0.000 0.000
0.000 4.063 0.000
-0.549 0.000 6.130
Ti Ir Os
4 2 4
direct
0.000 0.000 0.000
0.127 0.500 0.688
0.445 0.000 0.782
0.575 0.500 0.463
0.250 0.000 0.389
0.626 0.000 0.187
0.321 0.500 0.087
0.698 0.500 0.884
0.870 0.000 0.583
0.948 0.500 0.273
```

Calculated values
The value obtained for the density of states at the Fermi level is 6.758 states/eV/cell. The density is 14.73 Mg/m³. As for the relative energy among the computed polymorphs: 0.151 eV/atom. The total DFT energy (no corrections) comes out at -49.2 eV per formula unit. The formation energy from the elements is -0.4135 eV per atom.



Entry 15:
Here is a relaxed structure of KPmMnSe3 from Alexandria via LeMat-Bulk. Energies are from PBE.

Cell and atoms, written as POSCAR:
```
KPmMnSe3
1.0
9.173 0.000 0.000
0.000 4.293 0.000
-2.721 0.000 9.529
K Pm Mn Se
2 2 2 6
direct
0.200 0.250 0.228
0.800 0.750 0.772
0.332 0.750 0.857
0.668 0.250 0.143
0.086 0.250 0.607
0.914 0.750 0.393
0.108 0.250 0.860
0.201 0.750 0.532
0.455 0.750 0.160
0.545 0.250 0.840
0.799 0.250 0.468
0.892 0.750 0.140
```

Calculated values
For the uncorrected formation energy, the calculation gives -1.29 eV per atom. The density is 4.21 Mg/m³. The total DFT energy (no corrections) comes out at -33.2 eV per formula unit.



Entry 16:
Here is a relaxed structure of PmNd2Rh from Alexandria via LeMat-Bulk. Energies are from PBE.

Cell and atoms, written as POSCAR:
```
PmNd2Rh
1.0
1.973 1.139 9.421
-1.973 1.139 9.421
0.000 -2.279 9.421
Pm Nd Rh
1 2 1
direct
0.000 0.000 0.000
0.559 0.559 0.559
0.773 0.773 0.773
0.166 0.166 0.166
```

Calculated values
The value obtained for the density of states at the Fermi level is 5.616 states/eV/cell. The density is 7.01 Mg/m³. As for the relative energy among the computed polymorphs: 0.157 eV/atom. The total DFT energy (no corrections) comes out at -22.7 eV per formula unit. The formation energy from the elements is -0.2713 eV per atom.



Entry 17:
Here is a relaxed structure of PmCoSb from Alexandria via LeMat-Bulk. Energies are from PBE.

Cell and atoms, written as POSCAR:
```
PmCoSb
1.0
4.348 0.000 0.000
-2.174 3.765 0.000
0.000 0.000 4.149
Pm Co Sb
1 1 1
direct
0.000 0.000 0.000
0.333 0.667 0.500
0.667 0.333 0.500
```

Calculated values
The value obtained for the density of states at the Fermi level is 3.924 states/eV/cell. For the uncorrected formation energy, the calculation gives -0.57 eV per atom. The density is 7.96 Mg/m³. As for the relative energy among the computed polymorphs: 0.000 eV/atom. The total DFT energy (no corrections) comes out at -17.7 eV per formula unit.



Entry 18:
Here is a relaxed structure of ReGe3Br from Alexandria via LeMat-Bulk. Energies are from PBE.

Cell and atoms, written as POSCAR:
```
ReGe3Br
1.0
4.874 0.000 0.000
0.000 4.874 0.000
0.000 0.000 4.874
Re Ge Br
1 3 1
direct
0.000 0.000 0.000
0.000 0.000 0.500
0.000 0.500 0.000
0.500 0.000 0.000
0.500 0.500 0.500
```

Calculated values
The value obtained for the density of states at the Fermi level is 0.000 states/eV/cell. For the uncorrected formation energy, the calculation gives -0.01 eV per atom. The density is 6.94 Mg/m³. As for the relative energy among the computed polymorphs: 0.000 eV/atom. The total DFT energy (no corrections) comes out at -28.0 eV per formula unit.



Entry 19:
Here is a relaxed structure of LaHg2Se from Alexandria via LeMat-Bulk. Energies are from PBE.

Cell and atoms, written as POSCAR:
```
LaHg2Se
1.0
-2.449 2.460 4.373
2.449 -2.460 4.373
2.449 2.460 -4.373
La Hg Se
1 2 1
direct
0.000 0.000 0.000
0.499 0.499 0.000
0.749 0.249 0.500
0.249 0.749 0.500
```

Calculated values
The value obtained for the density of states at the Fermi level is 3.207 states/eV/cell. For the uncorrected formation energy, the calculation gives -0.73 eV per atom. The density is 9.75 Mg/m³. The total DFT energy (no corrections) comes out at -11.9 eV per formula unit.